Compound: SrIr2W
Source: Alexandria via LeMat-Bulk
Functional: PBE
Structure: relaxed

Results
Energy relative to the elements (eV per atom): 0.545
Energy above the lowest structure with this stoichiometry (meV per atom): 516
Fermi-level density of states (states/eV/cell): 3.88

Unit cell a=4.9259 b=4.9259 c=4.9259 alpha=130.03 beta=117.11 gamma=84.32
Last column: nearest neighbours and their distance in Å.
Element x y z (fractional)
Sr 0.0000 0.0000 0.0000  8 Ir 2.97-2.99, 4 W 3.31
Ir 0.2896 0.7896 0.5000  2 W 2.59
Ir 0.7104 0.2104 0.5000  2 W 2.59
W 0.5000 0.5000 0.0000  4 Ir 2.59

Compound: Co2Ir4Rh5
Source: Alexandria via LeMat-Bulk
Functional: PBE
Structure: relaxed

Results
Energy relative to the elements (eV per atom): 0.106
Fermi-level density of states (states/eV/cell): 15.33

Unit cell a=6.6497 b=2.6903 c=8.6146 alpha=90.00 beta=94.74 gamma=90.00
Last column: nearest neighbours and their distance in Å.
Element x y z (fractional)
Co 0.0590 0.0000 0.1310  1 Co 2.33, 2 Rh 2.50
Co 0.9410 0.0000 0.8690  1 Co 2.33, 2 Rh 2.50
Ir 0.1692 0.5000 0.3834  2 Co 2.61, 2 Ir 2.69, 8 Rh 2.70-2.82
Ir 0.2740 0.5000 0.9390  4 Co 2.62-2.64, 2 Ir 2.69, 6 Rh 2.71-2.75
Ir 0.7260 0.5000 0.0610  4 Co 2.62-2.64, 2 Ir 2.69, 6 Rh 2.71-2.75
Ir 0.8308 0.5000 0.6166  2 Co 2.61, 2 Ir 2.69, 8 Rh 2.70-2.82
Rh 0.1846 0.0000 0.6629  1 Co 2.50, 4 Rh 2.62-2.73, 6 Ir 2.71-2.75
Rh 0.4327 0.0000 0.1959  1 Co 2.50, 4 Rh 2.62-2.73, 4 Ir 2.71-2.73
Rh 0.5000 0.0000 0.5000  6 Rh 2.62-2.69, 4 Ir 2.70
Rh 0.5673 0.0000 0.8041  1 Co 2.50, 4 Rh 2.62-2.73, 4 Ir 2.71-2.73
Rh 0.8154 0.0000 0.3371  1 Co 2.50, 4 Rh 2.62-2.73, 6 Ir 2.71-2.75